TiAgBi PBE optimized geometry; calculated density = 9163 kg/m3; formation enthalpy at 0 K = 207 meV per atom; E = -4.6683 eV per atom; volume = 22.031 Å³ per atom; total magnetization = 0.00 μB/f.u.
1.0
4.503 0.000 0.000
-2.252 3.900 0.000
0.000 0.000 3.763
Ti Ag Bi
1 1 1
Direct
0.000 0.000 0.000 Ti
0.333 0.667 0.207 Ag
0.667 0.333 0.568 Bi